(1)
A plane-wave DFT calculation with meta-GGA SCAN was carried out for SrCuPb2 at its PBEsol-relaxed geometry.

- Volume: 26.22 A^3/atom
- ΔE_f: -0.111 eV/atom
- SG: I-4m2 (119)
- N(E_F): 1.310 states/eV/f.u.
- Calculated density: 8.955 g cm⁻³
- Crystal system: tetragonal
- Magnetic moment: 0.00 μB/f.u.

Cell: 5.738 5.738 5.738 Å, 131.12 131.12 71.62°
Positions (direct):
Sr1 0.000 0.000 0.000
Cu1 0.750 0.250 0.500
Pb1 0.250 0.750 0.500
Pb2 0.500 0.500 0.000

(2)
A plane-wave DFT calculation with meta-GGA SCAN was carried out for ScSnOF2 at its PBEsol-relaxed geometry.

- Volume: 14.39 A^3/atom
- SG: P4/mmm (123)
- N(E_F): 1.980 states/eV/f.u.
- Raw formation energy: -2626 meV per atom
- Calculated density: 5.025 g cm⁻³
- Crystal system: tetragonal
- Magnetic moment: 0.00 μB/f.u.

Cell: 4.213 4.213 4.053 Å, 90.00 90.00 90.00°
Positions (direct):
Sc1 0.000 0.000 0.000
Sn1 0.500 0.500 0.500
O1 0.000 0.000 0.500
F1 0.000 0.500 0.000
F2 0.500 0.000 0.000

(3)
A plane-wave DFT calculation with meta-GGA SCAN was carried out for Zr2IrRh at its PBEsol-relaxed geometry.

- Volume: 17.27 A^3/atom
- ΔE_f: -0.938 eV/atom
- SG: P4/mmm (123)
- N(E_F): 4.113 states/eV/f.u.
- Calculated density: 11.477 g cm⁻³
- Crystal system: tetragonal
- Magnetic moment: 0.00 μB/f.u.

Cell: 3.264 3.264 6.484 Å, 90.00 90.00 90.00°
Positions (direct):
Zr1 0.000 0.000 0.250
Zr2 0.000 0.000 0.750
Ir1 0.500 0.500 0.000
Rh1 0.500 0.500 0.500

(4)
A plane-wave DFT calculation with meta-GGA SCAN was carried out for K2CoOs at its PBEsol-relaxed geometry.

- Volume: 25.34 A^3/atom
- ΔE_f: 0.766 eV/atom
- SG: Pm (6)
- N(E_F): 2.470 states/eV/f.u.
- Calculated density: 5.364 g cm⁻³
- Crystal system: monoclinic
- Magnetic moment: 0.87 μB/f.u.

Cell: 2.704 3.754 9.984 Å, 90.00 90.35 90.00°
Positions (direct):
K1 0.000 0.000 0.000
K2 0.473 0.500 0.565
Co1 0.003 0.000 0.322
Os1 0.506 0.500 0.250